# 1
A plane-wave DFT calculation with GGA-PBE was carried out for SmMg11 after structural relaxation.

Lattice parameters (Å, degrees): 7.8942 9.4510 9.4510 79.96 65.31 65.31
Fractional coordinates of all 24 atoms:
Sm  0.5000  0.0000  0.0000
Sm  0.2500  0.5000  0.5000
Mg  0.4283  0.8263  0.4168
Mg  0.6715  0.1737  0.5832
Mg  0.0000  0.0000  0.0000
Mg  0.7500  0.5000  0.5000
Mg  0.3750  0.7500  0.7500
Mg  0.8750  0.7500  0.2500
Mg  0.8750  0.2500  0.7500
Mg  0.8750  0.2500  0.2500
Mg  0.4283  0.4168  0.8263
Mg  0.0046  0.6737  0.9168
Mg  0.5951  0.3263  0.0832
Mg  0.6715  0.5832  0.1737
Mg  0.7454  0.5832  0.8263
Mg  0.1549  0.4168  0.1737
Mg  0.0785  0.3263  0.9168
Mg  0.3217  0.6737  0.0832
Mg  0.3217  0.0832  0.6737
Mg  0.7454  0.8263  0.5832
Mg  0.1549  0.1737  0.4168
Mg  0.0785  0.9168  0.3263
Mg  0.0046  0.9168  0.6737
Mg  0.5951  0.0832  0.3263

Calculated values
theoretical density = 2.38 g/cm³
VASP energy = -1.850 eV/atom
D(E_F) = 9.54 states/eV per cell

# 2
A plane-wave DFT calculation with GGA-PBE was carried out for CdHg2Pb after structural relaxation.

Lattice parameters (Å, degrees): 3.6086 3.6086 8.0466 90.00 90.00 90.00
Fractional coordinates of all 4 atoms:
Pb  0.5000  0.5000  0.2500
Hg  0.0000  0.0000  0.9803
Hg  0.0000  0.0000  0.5197
Cd  0.5000  0.5000  0.7500

Calculated values
theoretical density = 11.42 g/cm³
VASP energy = -1.279 eV/atom
D(E_F) = 1.27 states/eV per cell

So what do the calculations give for V? Going down the list: 582.1 104.8 Å³/cell.
So what do the calculations give for formation enthalpy at 0 K? Going down the list: 0.00 0.03 eV per atom.